A plane-wave DFT calculation with SCAN was carried out for a crystal of Tl2ReIr relaxed with PBEsol.

```
Tl2ReIr
1.0
3.0345 0.0000 0.0000
0.0000 3.6444 0.0000
0.0000 0.0000 6.3884
Ir Re Tl
1 1 2
Cartesian
1.5172 1.8222 0.0000 Ir
1.5172 1.8222 3.1942 Re
0.0000 0.0000 4.8239 Tl
0.0000 0.0000 1.5644 Tl
```

Calculated values
Energy relative to the elements in eV/atom: 1.173
DOS(E_F) in states/eV per atom: 0.7921
Space-group type: Pmmm (47)